<1>
Here is a geometry-optimized CdCoSeO structure from OQMD. Energies are from PBE+U.

Unit cell a=4.041 b=4.041 c=8.074 alpha=90.00 beta=90.00 gamma=90.00
Sites, in units of the cell vectors:
Co: 0.250 0.250 0.758
O: 0.250 0.250 0.521
Se: 0.750 0.750 0.690
Cd: 0.250 0.750 0.000
Se: 0.250 0.250 0.310
Cd: 0.750 0.250 0.000
O: 0.750 0.750 0.479
Co: 0.750 0.750 0.242

Calculated values
Magnetization in μB/cell: 3.40

---

<2>
Here is a geometry-optimized CdCoSeO structure from OQMD. Energies are from PBE+U.

Unit cell a=6.973 b=6.981 c=11.744 alpha=90.00 beta=90.00 gamma=90.00
Each line ends with the local moment (μB).
Sites, in units of the cell vectors:
O: 0.742 0.571 0.284  0.10
Co: 0.250 0.481 0.053  2.52
Se: 0.495 0.747 0.021  0.11
Cd: 0.958 0.319 0.743  0.01
Cd: 0.458 0.181 0.743  0.01
Se: 0.995 0.253 0.479  0.11
Co: 0.250 0.981 0.447  2.53
Cd: 0.958 0.819 0.757  0.01
Co: 0.750 0.519 0.947  2.52
O: 0.742 0.071 0.216  0.10
O: 0.258 0.929 0.784  0.10
Se: 0.505 0.253 0.979  0.11
O: 0.242 0.429 0.216  0.11
Se: 0.005 0.747 0.521  0.11
Cd: 0.542 0.819 0.257  0.01
Co: 0.750 0.019 0.553  2.53
Se: 0.495 0.247 0.479  0.11
Co: 0.750 0.019 0.053  2.54
Se: 0.995 0.753 0.021  0.11
Cd: 0.542 0.319 0.243  0.01
O: 0.758 0.071 0.716  0.10
O: 0.242 0.929 0.284  0.10
Cd: 0.042 0.681 0.257  0.01
Se: 0.005 0.247 0.979  0.11
Cd: 0.458 0.681 0.757  0.01
Co: 0.250 0.481 0.553  2.53
Co: 0.750 0.519 0.447  2.53
Se: 0.505 0.753 0.521  0.11
Co: 0.250 0.981 0.947  2.54
O: 0.258 0.429 0.716  0.10
Cd: 0.042 0.181 0.243  0.01
O: 0.758 0.571 0.784  0.11

Calculated values
Magnetization in μB/cell: 23.24

---

<2> has the most favorable energy; the next structure is 51.8 kJ/mol of atoms above.